Entry A
CoBiTeN2 | PBE-GGA | relaxed

It has space group P4/mmm (No. 123), with a = 4.104 Å, b = 4.104 Å, c = 5.128 Å, α = 90.00°, β = 90.00° and γ = 90.00°. The asymmetric unit holds Co at (0.000, 0.000, 0.000), Bi at (0.500, 0.500, 0.500), Te at (0.000, 0.000, 0.500) and N at (0.000, 0.500, 0.000).

Entry B
CoBiTeN2 | PBE-GGA | relaxed

It has space group P4/mmm (No. 123), with a = 4.231 Å, b = 4.231 Å, c = 6.591 Å, α = 90.00°, β = 90.00° and γ = 90.00°. The asymmetric unit holds Co at (0.000, 0.000, 0.000), Bi at (0.500, 0.500, 0.500), Te at (0.500, 0.500, 0.000) and N at (0.000, 0.500, 0.500).

Which of them is most stable? Easy: entry A.

Entry A
CoBiTe2N | PBE-GGA | relaxed

It has space group P4/mmm (No. 123), with a = 5.971 Å, b = 5.971 Å, c = 4.175 Å, α = 90.00°, β = 90.00° and γ = 90.00°. The asymmetric unit holds Co at (0.000, 0.000, 0.000), Bi at (0.500, 0.500, 0.500), Te at (0.000, 0.500, 0.500) and N at (0.500, 0.500, 0.000).

Entry B
CoBiTe2N | PBE-GGA | relaxed

It has space group P4/mmm (No. 123), with a = 5.493 Å, b = 5.493 Å, c = 3.523 Å, α = 90.00°, β = 90.00° and γ = 90.00°. The asymmetric unit holds Co at (0.000, 0.000, 0.000), Bi at (0.500, 0.500, 0.500), Te at (0.000, 0.500, 0.000) and N at (0.000, 0.000, 0.500).

Which of them is most stable? Easy: entry B.

Entry A
NaCo2Bi2 | PBE-GGA | relaxed

It has space group P4/mbm (No. 127), with a = 7.754 Å, b = 7.754 Å, c = 3.306 Å, α = 90.00°, β = 90.00° and γ = 90.00°. The asymmetric unit holds Na at (0.000, 0.000, 0.000), Co at (0.121, 0.379, 0.000) and Bi at (0.165, 0.665, 0.500).

Entry B
NaCo2Bi2 | PBE-GGA | relaxed

It has space group P4/mbm (No. 127), with a = 7.992 Å, b = 7.992 Å, c = 3.204 Å, α = 90.00°, β = 90.00° and γ = 90.00°. The asymmetric unit holds Na at (0.000, 0.000, 0.000), Co at (0.127, 0.373, 0.500) and Bi at (0.155, 0.655, 0.000).

Which of them is most stable? Easy: entry A.

Entry A
NaCo2Bi2 | PBE-GGA | relaxed

It has space group I4/mmm (No. 139), with a = 4.941 Å, b = 4.941 Å, c = 9.098 Å, α = 90.00°, β = 90.00° and γ = 90.00°. The asymmetric unit holds Na at (0.000, 0.000, 0.000), Co at (0.000, 0.000, 0.380) and Bi at (0.000, 0.500, 0.250).

Entry B
NaCo2Bi2 | PBE-GGA | relaxed

It has space group I4/mmm (No. 139), with a = 3.919 Å, b = 3.919 Å, c = 14.798 Å, α = 90.00°, β = 90.00° and γ = 90.00°. The asymmetric unit holds Na at (0.000, 0.000, 0.000), Co at (0.000, 0.500, 0.250) and Bi at (0.000, 0.000, 0.364).

Which of them is most stable? Easy: entry B.

Entry A
NbCoBi2 | PBE-GGA | relaxed

It has space group I-42d (No. 122), with a = 7.451 Å, b = 7.451 Å, c = 6.388 Å, α = 90.00°, β = 90.00° and γ = 90.00°. The asymmetric unit holds Nb at (0.000, 0.000, 0.000), Co at (0.000, 0.000, 0.500) and Bi at (0.203, 0.250, 0.625).

Entry B
NbCoBi2 | PBE-GGA | relaxed

It has space group Fm-3m (No. 225), with a = 6.894 Å, b = 6.894 Å, c = 6.894 Å, α = 90.00°, β = 90.00° and γ = 90.00°. The asymmetric unit holds Nb at (0.000, 0.000, 0.000), Co at (0.000, 0.000, 0.500) and Bi at (0.250, 0.250, 0.250).

Which of them is most stable? Easy: entry B.

Entry A
Nb3CoBi | PBE-GGA | relaxed

It has space group Pm-3m (No. 221), with a = 5.105 Å, b = 5.105 Å, c = 5.105 Å, α = 90.00°, β = 90.00° and γ = 90.00°. The asymmetric unit holds Nb at (0.000, 0.000, 0.500), Co at (0.500, 0.500, 0.500) and Bi at (0.000, 0.000, 0.000).

Entry B
Nb3CoBi | PBE-GGA | relaxed

It has space group Pm-3m (No. 221), with a = 4.673 Å, b = 4.673 Å, c = 4.673 Å, α = 90.00°, β = 90.00° and γ = 90.00°. The asymmetric unit holds Nb at (0.000, 0.000, 0.500), Co at (0.000, 0.000, 0.000) and Bi at (0.500, 0.500, 0.500).

Which of them is most stable? Easy: entry B.

Entry A
Co3NiBi | PBE-GGA | relaxed

It has space group Pm-3m (No. 221), with a = 4.739 Å, b = 4.739 Å, c = 4.739 Å, α = 90.00°, β = 90.00° and γ = 90.00°. The asymmetric unit holds Co at (0.000, 0.000, 0.500), Ni at (0.500, 0.500, 0.500) and Bi at (0.000, 0.000, 0.000).

Entry B
Co3NiBi | PBE-GGA | relaxed

It has space group Pm-3m (No. 221), with a = 4.364 Å, b = 4.364 Å, c = 4.364 Å, α = 90.00°, β = 90.00° and γ = 90.00°. The asymmetric unit holds Co at (0.000, 0.000, 0.500), Ni at (0.000, 0.000, 0.000) and Bi at (0.500, 0.500, 0.500).

Which of them is most stable? Easy: entry B.